Rb2Os2O5 PBE optimized geometry; theoretical density = 7.9 g cm⁻³; VASP energy = -6.422 eV/atom
1.0
-3.1060 1.4595 -8.3288
-3.4449 -1.3187 1.0536
-1.0485 3.5484 1.0128
Os O Rb
2 5 2
direct
0.7377 0.5000 0.5000
0.2623 0.5000 0.5000
0.7503 0.5000 0.0000
0.2497 0.5000 0.0000
0.7503 0.0000 0.5000
0.2497 0.0000 0.5000
0.5000 0.5000 0.5000
0.0000 0.0000 0.0000
0.5000 0.0000 0.0000